Here is an optimized crystal structure of LaMg2HPb from the Alexandria database. Energies are from PBE-GGA.

Values from the calculation:
Volume (Å³ per atom): 21.87
D(E_F) (states/eV/cell): 2.75
Spin magnetization (Bohr magnetons per cell): 0.0
Energy (eV/atom): -3.3607

Unit cell a=4.787 b=4.787 c=4.771 alpha=90.00 beta=90.00 gamma=90.00
Sites, in units of the cell vectors:
La: 0.000 0.000 0.000
Mg: 0.000 0.500 0.500
Mg: 0.500 0.000 0.500
H: 0.000 0.000 0.500
Pb: 0.500 0.500 0.000